A crystal of MgTi2Co2 relaxed with PBEsol. Source: Alexandria via LeMat-Bulk, functional meta-GGA SCAN.

Unit cell a=7.0299 b=7.0299 c=2.8317 alpha=90.00 beta=90.00 gamma=90.00
Closest atoms and distances in Å follow each position.
Space group P4/mbm (No. 127)
Asymmetric unit:
1 Mg 0.0000 0.0000 0.0000 x2  4 Co 2.72, 2 Mg 2.83, 8 Ti 3.02
2 Ti 0.1535 0.3465 0.5000 x4  6 Co 2.49-2.51
3 Co 0.1377 0.6377 0.0000 x4  6 Ti 2.49-2.51, 2 Mg 2.72, 1 Co 2.74

Calculated values
* formation energy from the elements: -0.2064 eV per atom